Record 1
6
Lattice="4.8111 -1.9966 0.0000 4.8111 1.9966 0.0000 -0.4194 0.0000 5.5633" Properties=species:S:1:pos:R:3 comment="ZrTiSi | Alexandria | PBE | relaxed" dos_ef_per_ev_atom=1.1117 vol_a3_per_atom=17.8 formation_energy_uncorrected_ev_per_fu=-1.6 space_group="No. 8" pbc="T T T"
Zr 0.0000 0.0000 0.0000
Zr 6.6672 0.0000 1.5410
Ti -0.0525 0.0000 2.8667
Ti 2.6807 0.0000 4.1594
Si 3.6807 0.0000 1.5330
Si 5.8446 0.0000 4.2649

---

Record 2
19
Lattice="6.1373 3.5434 3.7762 -6.1373 3.5434 3.7762 0.0000 -7.0867 3.7762" Properties=species:S:1:pos:R:3 comment="Ce6DyS12 | Alexandria | PBE | relaxed" dos_ef_per_ev_atom=1.5624 vol_a3_per_atom=25.9 formation_energy_uncorrected_ev_per_fu=-36.6 space_group="No. 148" pbc="T T T"
Ce -3.1723 -3.0059 5.8707
Ce -4.1894 1.2443 5.4578
Ce 1.0171 -4.2503 5.4578
Ce -1.0171 4.2503 5.8707
Ce 4.1894 -1.2443 5.8707
Ce 3.1723 3.0059 5.4578
Dy 0.0000 0.0000 5.6643
S -1.5668 -5.1309 4.9424
S -5.2269 -1.2086 6.3861
S -2.3281 -0.4909 4.3984
S -3.6601 3.9223 4.9424
S 1.5891 -1.7707 4.3984
S -0.7389 -2.2616 6.9301
S 0.7389 2.2616 4.3984
S -1.5891 1.7707 6.9301
S 3.6601 -3.9223 6.3861
S 2.3280 0.4909 6.9301
S 5.2269 1.2086 4.9424
S 1.5668 5.1309 6.3861